CeHo2Th PBE-GGA relaxed; raw total energy = -5.4441 eV per atom; relative energy among the computed polymorphs = 13.2 kJ per mole of atoms; formation energy = 183 meV/atom; magnetic moment = 0.77 μB/cell
1.0
-1.195 2.896 4.678
2.264 -1.540 4.920
3.949 3.210 2.409
Ce Ho Th
1 2 1
Direct
0.000 0.000 0.000
0.250 0.250 0.250
0.750 0.750 0.750
0.500 0.500 0.500